# 1
DFT (PBE) results for a relaxed structure of SiAsP2.

POSCAR file:
```
SiAsP2
1.0
3.068 0.000 0.000
0.000 3.068 0.000
0.000 0.000 6.755
Si P As
1 2 1
Direct
0.500 0.500 0.250 Si
0.000 0.000 0.056 P
0.000 0.000 0.444 P
0.500 0.500 0.750 As
```

energy above the lowest structure with this stoichiometry: 0.454 eV per atom
raw total energy: -4.668 eV per atom
total moment: 0.00 μB/f.u.
symmetry: P4/mmm

---

# 2
DFT (PBE) results for a relaxed structure of Cr4CuNi.

POSCAR file:
```
Cr4CuNi
1.0
3.685 -2.835 0.437
-0.505 -4.196 1.986
0.293 -3.865 -2.603
Cr Cu Ni
4 1 1
Direct
0.376 0.872 0.376 Cr
0.376 0.376 0.376 Cr
0.376 0.376 0.872 Cr
0.872 0.376 0.376 Cr
0.750 0.750 0.750 Cu
0.000 0.000 0.000 Ni
```

raw total energy: -7.725 eV per atom
total moment: 0.00 μB/f.u.
symmetry: F-43m

---

- Look up the raw total energy of the first one.
  -4.668 eV per atom

---

- What is the total moment in the second record?
  0.00 μB/f.u.

---

- Which value of total moment does entry 1 give?
  0.00 μB/f.u.

---

- Among the records above, which one has the highest raw total energy?
  SiAsP2